# 1
This record from Alexandria describes an optimized crystal structure of BaSr2Rh2. The functional is PBE.

Structure (extended XYZ):
```
5
Lattice="-2.479 2.479 6.263 2.479 -2.479 6.263 2.479 2.479 -6.263" Properties=species:S:1:pos:R:3 pbc="T T T"
Ba 0.000 0.000 0.000
Sr 2.479 0.000 3.131
Sr 0.000 2.479 3.131
Rh 0.000 0.000 4.966
Rh 0.000 0.000 7.560
```

Output
- ΔE to the lowest computed polymorph (eV per atom) = 0.085
- D(E_F) (states/eV/atom) = 0.690
- energy of formation from the pure elements (eV per atom) = -0.032
- space group = I4/mmm
- uncorrected energy (eV per atom) = -4.029
- crystal system = tetragonal

# 2
This record from Alexandria describes an optimized crystal structure of BaSr3Rh. The functional is PBE.

Structure (extended XYZ):
```
10
Lattice="-3.357 3.357 10.515 3.357 -3.357 10.515 3.357 3.357 -10.515" Properties=species:S:1:pos:R:3 pbc="T T T"
Ba 0.000 0.000 4.403
Ba 0.000 0.000 16.626
Sr 3.357 0.000 0.862
Sr 3.357 1.685 -2.585
Sr 3.357 0.000 9.653
Sr 1.685 3.357 2.585
Sr 1.672 0.000 13.099
Sr 0.000 1.672 7.930
Rh 0.000 0.000 10.515
Rh 0.000 3.357 5.257
```

Output
- ΔE to the lowest computed polymorph (eV per atom) = 0.278
- D(E_F) (states/eV/atom) = 1.602
- energy of formation from the pure elements (eV per atom) = 0.093
- space group = I-4m2
- uncorrected energy (eV per atom) = -2.771
- crystal system = tetragonal